(1)
BeHg2 at its PBEsol-relaxed geometry, computed with meta-GGA SCAN.

Results
DFT formation energy (eV/atom): 0.23

Unit cell a=6.190 b=6.194 c=3.103 alpha=90.00 beta=90.00 gamma=90.00
Space group Pnnm (No. 58)
Unique sites:
Be1 0.000 0.000 0.000 [2 per cell]
Hg1 0.224 0.222 0.500 [4 per cell]

---

(2)
CaZn2Te at its PBEsol-relaxed geometry, computed with meta-GGA SCAN.

Results
Formation energy from raw total energies (kcal/mol of atoms): -9.01

Unit cell a=4.285 b=4.285 c=4.880 alpha=90.00 beta=90.00 gamma=90.00
Space group P4/mmm (No. 123)
Unique sites:
Ca1 0.000 0.000 0.000 [1 per cell]
Zn1 0.000 0.500 0.500 [2 per cell]
Te1 0.500 0.500 0.000 [1 per cell]